Entry 1:
Below is YTi3S after structural relaxation, with properties calculated at the PBE level.

Cell and atoms, written as CIF:
```
data_YTi3S
_chemical_formula_sum 'Y1 Ti3 S1'
_cell_length_a 4.641
_cell_length_b 4.641
_cell_length_c 4.641
_cell_angle_alpha 90.00
_cell_angle_beta 90.00
_cell_angle_gamma 90.00
_space_group_name_H-M_alt 'P m -3 m'
_space_group_IT_number 221
_space_group_name_Hall '-P 4 2 3'
loop_
_atom_site_label
_atom_site_type_symbol
_atom_site_fract_x
_atom_site_fract_y
_atom_site_fract_z
Y1 Y 0.000 0.000 0.000
Ti1 Ti 0.000 0.500 0.500
S1 S 0.500 0.500 0.500
```

Properties
* uncorrected energy: -36.447 eV per formula unit
* E_form (uncorrected): -2.171 eV per formula unit
* relative energy among the computed polymorphs: 0.0 meV per atom

---

Entry 2:
Below is Y3TiS after structural relaxation, with properties calculated at the PBE level.

Cell and atoms, written as CIF:
```
data_Y3TiS
_chemical_formula_sum 'Y3 Ti1 S1'
_cell_length_a 5.212
_cell_length_b 5.212
_cell_length_c 5.212
_cell_angle_alpha 90.00
_cell_angle_beta 90.00
_cell_angle_gamma 90.00
_space_group_name_H-M_alt 'P m -3 m'
_space_group_IT_number 221
_space_group_name_Hall '-P 4 2 3'
loop_
_atom_site_label
_atom_site_type_symbol
_atom_site_fract_x
_atom_site_fract_y
_atom_site_fract_z
Y1 Y 0.000 0.000 0.500
Ti1 Ti 0.500 0.500 0.500
S1 S 0.000 0.000 0.000
```

Properties
* uncorrected energy: -33.519 eV per formula unit
* E_form (uncorrected): -2.105 eV per formula unit
* relative energy among the computed polymorphs: 0.0 meV per atom

---

Entry 3:
Below is YTi2S4 after structural relaxation, with properties calculated at the PBE level.

Cell and atoms, written as CIF:
```
data_YTi2S4
_chemical_formula_sum 'Y4 Ti8 S16'
_cell_length_a 7.207
_cell_length_b 7.453
_cell_length_c 10.180
_cell_angle_alpha 90.00
_cell_angle_beta 90.00
_cell_angle_gamma 90.00
_space_group_name_H-M_alt 'I m m a'
_space_group_IT_number 74
_space_group_name_Hall '-I 2b 2'
loop_
_atom_site_label
_atom_site_type_symbol
_atom_site_fract_x
_atom_site_fract_y
_atom_site_fract_z
Y1 Y 0.000 0.000 0.000
Ti1 Ti 0.000 0.000 0.500
Ti2 Ti 0.250 0.250 0.250
S1 S 0.000 0.015 0.260
S2 S 0.232 0.250 0.502
```

Properties
* uncorrected energy: -49.816 eV per formula unit
* E_form (uncorrected): -11.053 eV per formula unit
* relative energy among the computed polymorphs: 0.0 meV per atom